(1)
DFT (PBE) results for crystalline AlGa2Bi at its relaxed geometry.

## Properties
Energy of formation   0.628 eV/f.u.
Crystal system   tetragonal

Structure (POSCAR):
```
AlGa2Bi
1.0
-2.1765 2.1765 9.9878
2.1765 -2.1765 9.9878
2.1765 2.1765 -9.9878
Al Ga Bi
2 4 2
Cartesian
0.0000 0.0000 0.0000 Al
0.0000 2.1765 4.9939 Al
3.2647 0.8195 -2.4970 Ga
0.8195 1.0882 2.4970 Ga
-1.0882 1.3569 7.4909 Ga
1.3569 1.0882 12.4848 Ga
2.1765 0.0000 4.9939 Bi
0.0000 0.0000 9.9878 Bi
```

(2)
DFT (PBE) results for crystalline Al3Ga12Bi5 at its relaxed geometry.

## Properties
Energy of formation   3.060 eV/f.u.
Crystal system   cubic

Structure (POSCAR):
```
Al3Ga12Bi5
1.0
-8.1067 8.1067 8.1067
8.1067 -8.1067 8.1067
8.1067 8.1067 -8.1067
Al Ga Bi
12 48 20
Cartesian
4.0534 2.0267 0.0000 Al
8.1067 4.0534 -2.0267 Al
2.0267 0.0000 4.0534 Al
10.1334 0.0000 4.0534 Al
0.0000 4.0534 2.0267 Al
4.0534 -2.0267 8.1067 Al
4.0534 10.1334 0.0000 Al
8.1067 4.0534 6.0800 Al
-2.0267 8.1067 4.0534 Al
6.0800 8.1067 4.0534 Al
0.0000 4.0534 10.1334 Al
4.0534 6.0800 8.1067 Al
7.9126 -1.4830 2.5028 Ga
12.3541 -1.5505 2.5704 Ga
2.5028 -0.1941 1.4830 Ga
9.6572 5.5363 -4.2474 Ga
10.6095 0.1941 1.4830 Ga
9.6572 -2.5704 4.2474 Ga
1.4830 2.5028 -0.1941 Ga
10.6771 3.8593 -1.5505 Ga
5.5363 4.2474 -1.5505 Ga
6.6237 2.5028 0.1941 Ga
-0.1941 1.4830 2.5028 Ga
4.2474 -1.5505 5.5363 Ga
7.9126 6.6237 -2.5028 Ga
4.2474 1.5505 2.5704 Ga
6.6237 -2.5028 7.9126 Ga
5.5363 -4.2474 9.6572 Ga
2.5704 4.2474 1.5505 Ga
9.5897 5.6039 0.1941 Ga
2.5028 7.9126 -1.4830 Ga
9.6572 2.5704 3.8593 Ga
1.5505 2.5704 4.2474 Ga
2.5028 0.1941 6.6237 Ga
4.2474 9.6572 -2.5704 Ga
7.9126 1.4830 5.6039 Ga
0.1941 6.6237 2.5028 Ga
3.8593 -1.5505 10.6771 Ga
5.6039 7.9126 1.4830 Ga
6.5562 5.5363 3.8593 Ga
-1.5505 5.5363 4.2474 Ga
5.6039 0.1941 9.5897 Ga
-1.4830 2.5028 7.9126 Ga
5.5363 3.8593 6.5562 Ga
2.5704 12.3541 -1.5505 Ga
1.4830 10.6095 0.1941 Ga
3.8593 6.5562 5.5363 Ga
0.1941 1.4830 10.6095 Ga
3.8593 9.6572 2.5704 Ga
8.3008 6.6237 5.6039 Ga
1.4830 5.6039 7.9126 Ga
2.5704 3.8593 9.6572 Ga
-2.5704 4.2474 9.6572 Ga
6.6237 5.6039 8.3008 Ga
-1.5505 10.6771 3.8593 Ga
-2.5028 7.9126 6.6237 Ga
-1.5505 2.5704 12.3541 Ga
5.6039 8.3008 6.6237 Ga
-4.2474 9.6572 5.5363 Ga
0.1941 9.5897 5.6039 Ga
0.0000 0.0000 0.0000 Bi
4.0534 4.0534 -4.0534 Bi
4.0534 -4.0534 4.0534 Bi
8.1067 0.0000 0.0000 Bi
12.1601 2.0267 0.0000 Bi
8.1067 -4.0534 6.0800 Bi
6.0800 8.1067 -4.0534 Bi
6.0800 0.0000 4.0534 Bi
4.0534 6.0800 0.0000 Bi
8.1067 4.0534 2.0267 Bi
-4.0534 4.0534 4.0534 Bi
0.0000 8.1067 0.0000 Bi
0.0000 0.0000 8.1067 Bi
4.0534 4.0534 4.0534 Bi
0.0000 4.0534 6.0800 Bi
4.0534 2.0267 8.1067 Bi
2.0267 8.1067 4.0534 Bi
2.0267 0.0000 12.1601 Bi
0.0000 12.1601 2.0267 Bi
-4.0534 6.0800 8.1067 Bi
```

(3)
DFT (PBE) results for crystalline Al2GaBi at its relaxed geometry.

## Properties
Energy of formation   0.976 eV/f.u.
Crystal system   cubic

Structure (POSCAR):
```
Al2GaBi
1.0
0.0000 3.5566 3.5566
3.5566 0.0000 3.5566
3.5566 3.5566 0.0000
Al Ga Bi
2 1 1
Cartesian
1.7783 1.7783 1.7783 Al
5.3349 5.3349 5.3349 Al
0.0000 0.0000 0.0000 Ga
3.5566 3.5566 3.5566 Bi
```

(4)
DFT (PBE) results for crystalline Al3Ga3Bi at its relaxed geometry.

## Properties
Energy of formation   3.794 eV/f.u.
Crystal system   cubic

Structure (POSCAR):
```
Al3Ga3Bi
1.0
7.1493 0.0000 0.0000
0.0000 7.1493 0.0000
0.0000 0.0000 7.1493
Al Ga Bi
6 6 2
Cartesian
0.0000 1.7873 3.5747 Al
0.0000 5.3620 3.5747 Al
1.7873 3.5747 0.0000 Al
3.5747 0.0000 1.7873 Al
3.5747 0.0000 5.3620 Al
5.3620 3.5747 0.0000 Al
0.0000 3.5747 1.7873 Ga
0.0000 3.5747 5.3620 Ga
1.7873 0.0000 3.5747 Ga
3.5747 1.7873 0.0000 Ga
3.5747 5.3620 0.0000 Ga
5.3620 0.0000 3.5747 Ga
0.0000 0.0000 0.0000 Bi
3.5747 3.5747 3.5747 Bi
```